VASP calculation (PBE) on a relaxed structure of Pu2GaRh2.

a b c (Å): 5.6271 5.6271 7.7843
angles (deg): 103.08 103.08 57.73
Positions (direct):
Pu: 0.0034 0.7045 0.8514
Pu: 0.2955 0.9966 0.6486
Pu: 0.7045 0.0034 0.3514
Pu: 0.9966 0.2955 0.1486
Ga: 0.3454 0.6546 0.2500
Ga: 0.6546 0.3454 0.7500
Rh: 0.2323 0.5043 0.4957
Rh: 0.4957 0.7677 0.0043
Rh: 0.5043 0.2323 0.9957
Rh: 0.7677 0.4957 0.5043

## Properties
The value obtained for the calculated formation energy is -0.56 eV/atom. For the volume, the calculation gives 20.132 A^3/atom. The density comes out at 12.6 g/cm³. As for the symmetry: C2/c, No. 15. The value obtained for the density of states at the Fermi level is 16.9 states/eV/f.u.

---

VASP calculation (PBE) on a relaxed structure of Pu4GaRh3.

a b c (Å): 7.0460 7.0460 5.2071
angles (deg): 111.60 111.60 43.37
Positions (direct):
Pu: 0.1279 0.1279 0.1274
Pu: 0.3721 0.3721 0.3726
Pu: 0.6279 0.6279 0.6274
Pu: 0.8721 0.8721 0.8726
Ga: 0.0000 0.0000 0.5000
Rh: 0.2465 0.2465 0.7467
Rh: 0.5000 0.5000 0.0000
Rh: 0.7535 0.7535 0.2533

## Properties
The value obtained for the calculated formation energy is -0.36 eV/atom. For the volume, the calculation gives 20.374 A^3/atom. The density comes out at 13.8 g/cm³. As for the symmetry: C2/m, No. 12. The value obtained for the density of states at the Fermi level is 26.6 states/eV/f.u.

---

VASP calculation (PBE) on a relaxed structure of Pu3Ga9Rh2.

a b c (Å): 8.1127 8.1127 8.1127
angles (deg): 148.96 109.00 79.50
Positions (direct):
Pu: 0.0000 0.0000 0.0000
Pu: 0.2965 0.2965 0.0000
Pu: 0.7035 0.7035 0.0000
Ga: 0.0149 0.6516 0.3632
Ga: 0.1459 0.8652 0.2806
Ga: 0.2884 0.6516 0.6368
Ga: 0.4154 0.1348 0.2806
Ga: 0.5000 0.0000 0.5000
Ga: 0.5846 0.8652 0.7194
Ga: 0.7116 0.3484 0.3632
Ga: 0.8541 0.1348 0.7194
Ga: 0.9851 0.3484 0.6368
Rh: 0.3276 0.5000 0.8276
Rh: 0.6724 0.5000 0.1724

## Properties
The value obtained for the calculated formation energy is -0.49 eV/atom. For the volume, the calculation gives 18.228 A^3/atom. The density comes out at 10.2 g/cm³. As for the symmetry: Immm, No. 71. The value obtained for the density of states at the Fermi level is 28.2 states/eV/f.u.